No. 1
{"formula": "Pm5Zn4In", "functional": "GGA-PBE", "state": "relaxed", "lattice": [[3.6610, 0.0000, 0.0000], [0.0000, 3.6610, 0.0000], [0.0000, 0.0000, 18.9160]], "species": ["Pm", "Pm", "Pm", "Pm", "Pm", "Zn", "Zn", "Zn", "Zn", "In"], "frac_coords": [[0.5000, 0.5000, 0.1135], [0.5000, 0.5000, 0.3063], [0.5000, 0.5000, 0.5000], [0.5000, 0.5000, 0.6937], [0.5000, 0.5000, 0.8865], [0.0000, 0.0000, 0.2112], [0.0000, 0.0000, 0.4021], [0.0000, 0.0000, 0.5979], [0.0000, 0.0000, 0.7888], [0.0000, 0.0000, 0.0000]], "dft_energy_ev_per_cell": -35.1, "sg": "P4/mmm (123)", "formation_enthalpy_0k_ev_per_atom": -0.35}

No. 2
{"formula": "Pm4Zn3In", "functional": "GGA-PBE", "state": "relaxed", "lattice": [[-0.2366, -2.9539, 2.2198], [3.4046, 1.7211, 2.6532], [-8.1924, 5.7523, 6.7813]], "species": ["Pm", "Pm", "Pm", "Pm", "Zn", "Zn", "Zn", "In"], "frac_coords": [[0.5000, 0.5000, 0.3550], [0.0000, 0.5000, 0.8378], [0.0000, 0.0000, 0.1628], [0.5000, 0.0000, 0.6499], [0.0000, 0.5000, 0.5667], [0.0000, 0.0000, 0.4362], [0.5000, 0.0000, 0.9267], [0.5000, 0.5000, 0.0650]], "dft_energy_ev_per_cell": -28.0, "sg": "Pmm2 (25)", "formation_enthalpy_0k_ev_per_atom": -0.31, "e_above_lowest_polymorph_ev_per_fu": 0.29}

No. 3
{"formula": "PmZnIn", "functional": "GGA-PBE", "state": "relaxed", "lattice": [[3.7348, 0.0000, 0.0000], [0.0000, 4.7396, 0.0000], [0.0000, -2.3698, 4.1046]], "species": ["Zn", "In", "Pm"], "frac_coords": [[0.1665, 0.0000, 0.0000], [0.1668, 0.6667, 0.3333], [0.6667, 0.3333, 0.6667]], "dft_energy_ev_per_cell": -10.1, "sg": "P-6m2 (187)", "formation_enthalpy_0k_ev_per_atom": -0.45, "e_above_lowest_polymorph_ev_per_fu": 0.02}

No. 4
{"formula": "Pm3ZnIn2", "functional": "GGA-PBE", "state": "relaxed", "lattice": [[-0.6487, 3.6237, 0.5385], [-3.1903, -0.8276, 1.7260], [5.7072, -0.5095, 10.3048]], "species": ["Pm", "Pm", "Pm", "Zn", "In", "In"], "frac_coords": [[0.0000, 0.0000, 0.0000], [0.0000, 0.0000, 0.6494], [0.0000, 0.0000, 0.3506], [0.5000, 0.5000, 0.5000], [0.5000, 0.5000, 0.8233], [0.5000, 0.5000, 0.1767]], "dft_energy_ev_per_cell": -23.7, "sg": "P4/mmm (123)", "formation_enthalpy_0k_ev_per_atom": -0.44, "e_above_lowest_polymorph_ev_per_fu": 0.00}

No. 5
{"formula": "PmZnIn", "functional": "GGA-PBE", "state": "relaxed", "lattice": [[4.7655, 0.0000, 0.0000], [2.3828, 4.1270, 0.0000], [2.3828, 1.3757, 3.8910]], "species": ["Zn", "In", "Pm"], "frac_coords": [[0.2500, 0.2500, 0.2500], [0.0000, 0.0000, 0.0000], [0.5000, 0.5000, 0.5000]], "dft_energy_ev_per_cell": -10.0, "sg": "F-43m (216)", "formation_enthalpy_0k_ev_per_atom": -0.42, "e_above_lowest_polymorph_ev_per_fu": 0.10}

No. 6
{"formula": "PmZnIn", "functional": "GGA-PBE", "state": "relaxed", "lattice": [[4.6409, 0.0000, 0.0000], [2.3205, 4.0192, 0.0000], [2.3205, 1.3397, 8.5511]], "species": ["Pm", "Pm", "In", "In", "Zn", "Zn"], "frac_coords": [[0.5668, 0.5668, 0.2997], [0.4332, 0.4332, 0.7003], [0.3067, 0.3067, 0.0799], [0.6933, 0.6933, 0.9201], [0.8270, 0.8270, 0.5189], [0.1730, 0.1730, 0.4811]], "dft_energy_ev_per_cell": -19.2, "sg": "R-3m (166)", "formation_enthalpy_0k_ev_per_atom": -0.29, "e_above_lowest_polymorph_ev_per_fu": 0.50}